# 1
Entry from the Open Quantum Materials Database: an optimized crystal structure of LaYCd2In2 (GGA-PBE).

a b c (Å): 4.9164 4.9164 7.6665
angles (deg): 90.00 90.00 120.00
Positions (direct):
Cd (0.3333, 0.6667, 0.0504)
Cd (0.6667, 0.3333, 0.5299)
In (0.6667, 0.3333, 0.9697)
In (0.3333, 0.6667, 0.4537)
La (0.0000, 0.0000, 0.7483)
Y (0.0000, 0.0000, 0.2480)

Properties
As for the space group: No. 156. The volume comes out at 26.75 Å³ per atom. The value obtained for the final energy is -3.59 eV/atom. The magnetic moment is 0.006 μB/f.u.

# 2
Entry from the Open Quantum Materials Database: an optimized crystal structure of Li2Cd2In (GGA-PBE).

a b c (Å): 6.7191 6.7191 6.7191
angles (deg): 144.23 144.23 51.48
Positions (direct):
Cd (0.7500, 0.2500, 0.5000)
Cd (0.2500, 0.7500, 0.5000)
In (0.0000, 0.0000, 0.0000)
Li (0.4007, 0.4007, 0.0000)
Li (0.5993, 0.5993, 0.0000)

Properties
As for the space group: No. 139. The volume comes out at 20.61 Å³ per atom. The value obtained for the final energy is -1.70 eV/atom.

# 3
Entry from the Open Quantum Materials Database: an optimized crystal structure of LiCdIn2 (GGA-PBE).

a b c (Å): 5.0586 5.0586 5.0586
angles (deg): 60.00 60.00 60.00
Positions (direct):
In (0.5000, 0.5000, 0.5000)
In (0.2500, 0.2500, 0.2500)
Li (0.0000, 0.0000, 0.0000)
Cd (0.7500, 0.7500, 0.7500)

Properties
As for the space group: No. 216. The volume comes out at 22.88 Å³ per atom. The value obtained for the final energy is -2.16 eV/atom.

# 4
Entry from the Open Quantum Materials Database: an optimized crystal structure of Li8Cd2In (GGA-PBE).

a b c (Å): 4.5991 4.5991 10.6971
angles (deg): 102.47 102.47 59.83
Positions (direct):
Li (0.3633, 0.3633, 0.0899)
Li (0.7258, 0.7258, 0.1777)
Li (0.1806, 0.1806, 0.5415)
Li (0.0898, 0.0898, 0.2695)
Li (0.6367, 0.6367, 0.9101)
Li (0.2742, 0.2742, 0.8223)
Li (0.8194, 0.8194, 0.4585)
Li (0.9102, 0.9102, 0.7305)
Cd (0.4527, 0.4527, 0.3584)
Cd (0.5473, 0.5473, 0.6416)
In (0.0000, 0.0000, 0.0000)

Properties
As for the space group: No. 12. The volume comes out at 17.22 Å³ per atom. The value obtained for the final energy is -2.01 eV/atom.

# 5
Entry from the Open Quantum Materials Database: an optimized crystal structure of Li8CdIn2 (GGA-PBE).

a b c (Å): 4.6104 4.6104 10.7104
angles (deg): 102.64 102.64 59.90
Positions (direct):
In (0.5475, 0.5475, 0.6421)
In (0.4525, 0.4525, 0.3579)
Li (0.6380, 0.6380, 0.9138)
Li (0.2677, 0.2677, 0.8026)
Li (0.7323, 0.7323, 0.1974)
Li (0.9109, 0.9109, 0.7319)
Li (0.1769, 0.1769, 0.5305)
Li (0.0891, 0.0891, 0.2681)
Li (0.3620, 0.3620, 0.0862)
Li (0.8231, 0.8231, 0.4695)
Cd (0.0000, 0.0000, 0.0000)

Properties
As for the space group: No. 12. The volume comes out at 17.32 Å³ per atom. The value obtained for the final energy is -2.20 eV/atom.

# 6
Entry from the Open Quantum Materials Database: an optimized crystal structure of LiLuCdIn (GGA-PBE).

a b c (Å): 4.9976 4.9976 4.9976
angles (deg): 60.00 60.00 60.00
Positions (direct):
Li (0.7500, 0.7500, 0.7500)
In (0.0000, 0.0000, 0.0000)
Lu (0.2500, 0.2500, 0.2500)
Cd (0.5000, 0.5000, 0.5000)

Properties
As for the space group: No. 216. The volume comes out at 22.07 Å³ per atom. The value obtained for the final energy is -2.83 eV/atom. The magnetic moment is 0.000 μB/f.u.

# 7
Entry from the Open Quantum Materials Database: an optimized crystal structure of LiLuCdIn (GGA-PBE).

a b c (Å): 4.9317 4.9317 4.9317
angles (deg): 60.00 60.00 60.00
Positions (direct):
In (0.0000, 0.0000, 0.0000)
Cd (0.2500, 0.2500, 0.2500)
Lu (0.5000, 0.5000, 0.5000)
Li (0.7500, 0.7500, 0.7500)

Properties
As for the space group: No. 216. The volume comes out at 21.20 Å³ per atom. The value obtained for the final energy is -2.73 eV/atom. The magnetic moment is 0.001 μB/f.u.

# 8
Entry from the Open Quantum Materials Database: an optimized crystal structure of LiLuCdIn (GGA-PBE).

a b c (Å): 4.9622 4.9622 4.9622
angles (deg): 60.00 60.00 60.00
Positions (direct):
Lu (0.0000, 0.0000, 0.0000)
Li (0.7500, 0.7500, 0.7500)
Cd (0.5000, 0.5000, 0.5000)
In (0.2500, 0.2500, 0.2500)

Properties
As for the space group: No. 216. The volume comes out at 21.60 Å³ per atom. The value obtained for the final energy is -2.72 eV/atom. The magnetic moment is 0.003 μB/f.u.

# 9
Entry from the Open Quantum Materials Database: an optimized crystal structure of Li2MgCdIn2Pd2 (GGA-PBE).

a b c (Å): 4.6137 4.6137 6.5290
angles (deg): 90.00 90.00 90.00
Positions (direct):
In (0.0000, 0.0000, 0.5000)
In (0.5000, 0.5000, 0.0000)
Li (0.0000, 0.5000, 0.7527)
Li (0.5000, 0.0000, 0.2473)
Mg (0.5000, 0.5000, 0.5000)
Pd (0.0000, 0.5000, 0.2586)
Pd (0.5000, 0.0000, 0.7414)
Cd (0.0000, 0.0000, 0.0000)

Properties
As for the space group: No. 115. The volume comes out at 17.37 Å³ per atom. The value obtained for the final energy is -3.26 eV/atom.

# 10
Entry from the Open Quantum Materials Database: an optimized crystal structure of Li2MgCdIn2Pt2 (GGA-PBE).

a b c (Å): 4.6109 4.6109 6.5203
angles (deg): 90.00 90.00 90.00
Positions (direct):
Li (0.0000, 0.5000, 0.7520)
Li (0.5000, 0.0000, 0.2480)
Pt (0.0000, 0.5000, 0.2600)
Pt (0.5000, 0.0000, 0.7400)
Cd (0.0000, 0.0000, 0.0000)
In (0.0000, 0.0000, 0.5000)
In (0.5000, 0.5000, 0.0000)
Mg (0.5000, 0.5000, 0.5000)

Properties
As for the space group: No. 115. The volume comes out at 17.33 Å³ per atom. The value obtained for the final energy is -3.55 eV/atom. The magnetic moment is 0.004 μB/f.u.

# 11
Entry from the Open Quantum Materials Database: an optimized crystal structure of NaLiCdIn (GGA-PBE).

a b c (Å): 4.9654 4.9654 4.9654
angles (deg): 60.00 60.00 60.00
Positions (direct):
In (0.7500, 0.7500, 0.7500)
Na (0.2500, 0.2500, 0.2500)
Li (0.5000, 0.5000, 0.5000)
Cd (0.0000, 0.0000, 0.0000)

Properties
As for the space group: No. 216. The volume comes out at 21.64 Å³ per atom. The value obtained for the final energy is -1.91 eV/atom.

# 12
Entry from the Open Quantum Materials Database: an optimized crystal structure of Li4CdInNi2 (GGA-PBE).

a b c (Å): 4.3618 4.3618 6.1585
angles (deg): 90.00 90.00 90.00
Positions (direct):
Cd (0.0000, 0.0000, 0.0000)
Li (0.0000, 0.0000, 0.5000)
Li (0.5000, 0.0000, 0.2460)
Li (0.5000, 0.5000, 0.0000)
Li (0.0000, 0.5000, 0.7540)
Ni (0.0000, 0.5000, 0.2566)
Ni (0.5000, 0.0000, 0.7434)
In (0.5000, 0.5000, 0.5000)

Properties
As for the space group: No. 115. The volume comes out at 14.65 Å³ per atom. The value obtained for the final energy is -2.96 eV/atom. The magnetic moment is 0.001 μB/f.u.